Compound: PmMnSbO6
Source: Alexandria
Functional: PBE with a Hubbard U
Structure: relaxed

Calculated values
The calculated volume comes out at 12.79 Å³/atom. The total magnetic moment is 6.00 Bohr magnetons per cell. The calculation puts the total energy at -6.961 eV per atom. The density of states at the Fermi level comes out at 0.190 states/eV/f.u.

Cell lengths 4.879, 4.879, 9.670 Å; angles 90.00, 90.00, 90.00 degrees
Positions (direct):
Pm1 0.000 0.000 0.000
Pm2 0.500 0.500 0.500
Mn1 0.000 0.000 0.330
Mn2 0.500 0.500 0.830
Sb1 0.000 0.000 0.666
Sb2 0.500 0.500 0.166
O1 0.170 0.170 0.494
O2 0.207 0.207 0.185
O3 0.212 0.212 0.812
O4 0.288 0.712 0.312
O5 0.293 0.707 0.685
O6 0.330 0.670 0.994
O7 0.670 0.330 0.994
O8 0.707 0.293 0.685
O9 0.712 0.288 0.312
O10 0.788 0.788 0.812
O11 0.793 0.793 0.185
O12 0.830 0.830 0.494